(a)
{"formula": "TbHo8Tm2", "functional": "GGA-PBE", "state": "relaxed", "lattice": [[5.471, -0.419, -0.293], [0.401, 9.682, 2.584], [0.401, 5.758, 8.201]], "species": ["Ho", "Ho", "Ho", "Ho", "Ho", "Ho", "Ho", "Ho", "Tb", "Tm", "Tm"], "fractional_positions": [[0.764, 0.453, 0.453], [0.732, 0.399, 0.867], [0.732, 0.867, 0.399], [0.236, 0.547, 0.547], [0.268, 0.133, 0.601], [0.233, 0.188, 0.188], [0.268, 0.601, 0.133], [0.767, 0.812, 0.812], [0.000, 0.000, 0.000], [0.749, 0.284, 0.284], [0.251, 0.716, 0.716]], "dos_at_fermi_per_ev_fu": 18.13, "magmom_total_mub_per_cell": 0.0, "crystal_system": "monoclinic"}

(b)
{"formula": "TbHo8Tm2", "functional": "GGA-PBE", "state": "relaxed", "lattice": [[-2.702, 4.282, 3.966], [4.483, -0.178, 7.955], [6.634, 4.794, 4.052]], "species": ["Ho", "Ho", "Ho", "Ho", "Ho", "Ho", "Ho", "Ho", "Tm", "Tm", "Tb"], "fractional_positions": [[0.689, 0.133, 0.660], [0.311, 0.340, 0.867], [0.674, 0.211, 0.211], [0.326, 0.789, 0.789], [0.689, 0.660, 0.133], [0.752, 0.558, 0.558], [0.248, 0.442, 0.442], [0.311, 0.867, 0.340], [0.893, 0.717, 0.717], [0.107, 0.283, 0.283], [0.000, 0.000, 0.000]], "dos_at_fermi_per_ev_fu": 15.29, "magmom_total_mub_per_cell": 0.0, "crystal_system": "monoclinic"}

Most stable of them? (a).

(a)
{"formula": "TbHo9Tm2", "functional": "GGA-PBE", "state": "relaxed", "lattice": [[-0.727, -3.142, 1.277], [7.912, -4.433, -6.404], [2.482, 3.577, 10.213]], "species": ["Ho", "Ho", "Ho", "Ho", "Ho", "Ho", "Ho", "Ho", "Ho", "Tb", "Tm", "Tm"], "fractional_positions": [[0.500, 0.823, 0.177], [0.500, 0.177, 0.823], [0.000, 0.500, 0.500], [0.000, 0.000, 0.500], [0.500, 0.823, 0.645], [0.000, 0.500, 0.000], [0.500, 0.177, 0.355], [0.500, 0.355, 0.177], [0.500, 0.645, 0.823], [0.000, 0.000, 0.000], [0.000, 0.333, 0.667], [0.000, 0.667, 0.333]], "dos_at_fermi_per_ev_fu": 17.87, "magmom_total_mub_per_cell": 0.0, "crystal_system": "hexagonal"}

(b)
{"formula": "TbHo9Tm2", "functional": "GGA-PBE", "state": "relaxed", "lattice": [[4.970, 0.000, 0.000], [0.000, 4.970, 0.000], [0.000, 0.000, 14.909]], "species": ["Ho", "Ho", "Ho", "Ho", "Ho", "Ho", "Ho", "Ho", "Ho", "Tm", "Tm", "Tb"], "fractional_positions": [[0.000, 0.500, 0.500], [0.500, 0.500, 0.000], [0.000, 0.500, 0.168], [0.500, 0.000, 0.832], [0.500, 0.000, 0.500], [0.500, 0.500, 0.334], [0.500, 0.500, 0.666], [0.500, 0.000, 0.168], [0.000, 0.500, 0.832], [0.000, 0.000, 0.666], [0.000, 0.000, 0.334], [0.000, 0.000, 0.000]], "dos_at_fermi_per_ev_fu": 17.54, "magmom_total_mub_per_cell": 0.0, "crystal_system": "tetragonal"}

Most stable of them? (b).

(a)
{"formula": "Tb7HoTm12", "functional": "GGA-PBE", "state": "relaxed", "lattice": [[9.060, 0.000, -3.203], [-4.530, 7.846, -3.203], [0.000, 0.000, 9.609]], "species": ["Tb", "Tb", "Tb", "Tb", "Tb", "Tb", "Tb", "Tm", "Tm", "Tm", "Tm", "Tm", "Tm", "Tm", "Tm", "Tm", "Tm", "Tm", "Tm", "Ho"], "fractional_positions": [[0.500, 0.500, 0.000], [0.000, 0.000, 0.500], [0.500, 0.000, 0.500], [0.000, 0.500, 0.000], [0.500, 0.500, 0.500], [0.500, 0.000, 0.000], [0.000, 0.500, 0.500], [0.751, 0.249, 0.000], [0.249, 0.000, 0.751], [0.498, 0.249, 0.249], [0.751, 0.751, 0.502], [0.751, 0.000, 0.249], [0.249, 0.751, 0.000], [0.502, 0.751, 0.751], [0.000, 0.751, 0.249], [0.249, 0.498, 0.249], [0.751, 0.502, 0.751], [0.000, 0.249, 0.751], [0.249, 0.249, 0.498], [0.000, 0.000, 0.000]], "dos_at_fermi_per_ev_fu": 24.28, "magmom_total_mub_per_cell": 0.0, "crystal_system": "cubic"}

(b)
{"formula": "Tb7HoTm12", "functional": "GGA-PBE", "state": "relaxed", "lattice": [[8.472, 0.738, 1.107], [-1.647, 8.343, 1.107], [-1.647, -2.191, 8.126]], "species": ["Tm", "Tm", "Tm", "Tm", "Tm", "Tm", "Tm", "Tm", "Tm", "Tm", "Tm", "Tm", "Tb", "Tb", "Tb", "Tb", "Tb", "Tb", "Tb", "Ho"], "fractional_positions": [[0.419, 0.484, 0.149], [0.313, 0.185, 0.749], [0.149, 0.419, 0.484], [0.851, 0.581, 0.516], [0.516, 0.851, 0.581], [0.815, 0.251, 0.687], [0.687, 0.815, 0.251], [0.251, 0.687, 0.815], [0.484, 0.149, 0.419], [0.749, 0.313, 0.185], [0.581, 0.516, 0.851], [0.185, 0.749, 0.313], [0.355, 0.022, 0.086], [0.022, 0.086, 0.355], [0.914, 0.645, 0.978], [0.978, 0.914, 0.645], [0.086, 0.355, 0.022], [0.645, 0.978, 0.914], [0.500, 0.500, 0.500], [0.000, 0.000, 0.000]], "dos_at_fermi_per_ev_fu": 17.38, "magmom_total_mub_per_cell": 0.0, "crystal_system": "trigonal"}

Most stable of them? (b).

(a)
{"formula": "Tb2HoTm", "functional": "GGA-PBE", "state": "relaxed", "lattice": [[3.527, 0.000, 0.000], [1.764, 3.055, 0.000], [1.764, 1.018, 11.480]], "species": ["Tm", "Tb", "Tb", "Ho"], "fractional_positions": [[0.000, 0.000, 0.000], [0.750, 0.750, 0.751], [0.250, 0.250, 0.249], [0.500, 0.500, 0.500]], "dos_at_fermi_per_ev_fu": 5.48, "magmom_total_mub_per_cell": 0.0, "crystal_system": "trigonal"}

(b)
{"formula": "Tb2HoTm", "functional": "GGA-PBE", "state": "relaxed", "lattice": [[3.554, 0.000, 0.000], [1.777, 3.078, 0.000], [1.777, 1.026, 11.371]], "species": ["Tb", "Tb", "Tm", "Ho"], "fractional_positions": [[0.250, 0.250, 0.250], [0.083, 0.083, 0.750], [0.667, 0.667, 0.000], [0.500, 0.500, 0.499]], "dos_at_fermi_per_ev_fu": 5.82, "magmom_total_mub_per_cell": 0.0, "crystal_system": "trigonal"}

Most stable of them? (b).

(a)
{"formula": "Tb2HoTm", "functional": "GGA-PBE", "state": "relaxed", "lattice": [[3.526, 0.000, 0.000], [0.000, 3.526, 0.000], [0.000, 0.000, 9.970]], "species": ["Tm", "Ho", "Tb", "Tb"], "fractional_positions": [[0.500, 0.500, 0.000], [0.500, 0.500, 0.500], [0.000, 0.000, 0.249], [0.000, 0.000, 0.751]], "dos_at_fermi_per_ev_fu": 5.12, "magmom_total_mub_per_cell": 0.0, "crystal_system": "tetragonal"}

(b)
{"formula": "Tb2HoTm", "functional": "GGA-PBE", "state": "relaxed", "lattice": [[5.594, 0.000, 0.000], [0.000, 12.481, 0.000], [0.000, 0.000, 7.217]], "species": ["Tm", "Tm", "Tm", "Tm", "Ho", "Ho", "Ho", "Ho", "Tb", "Tb", "Tb", "Tb", "Tb", "Tb", "Tb", "Tb"], "fractional_positions": [[0.943, 0.167, 0.250], [0.443, 0.833, 0.750], [0.443, 0.333, 0.750], [0.943, 0.667, 0.250], [0.943, 0.167, 0.750], [0.443, 0.833, 0.250], [0.943, 0.667, 0.750], [0.443, 0.333, 0.250], [0.943, 0.916, 0.999], [0.943, 0.416, 0.501], [0.443, 0.084, 0.500], [0.443, 0.584, 0.000], [0.443, 0.084, 0.001], [0.443, 0.584, 0.499], [0.943, 0.416, 0.000], [0.943, 0.916, 0.500]], "dos_at_fermi_per_ev_fu": 6.39, "magmom_total_mub_per_cell": 0.0, "crystal_system": "orthorhombic"}

Most stable of them? (b).

(a)
{"formula": "Tb2HoTm", "functional": "GGA-PBE", "state": "relaxed", "lattice": [[-2.181, -4.752, -3.875], [1.101, -8.470, 9.769], [-4.283, 3.942, 3.902]], "species": ["Tb", "Tb", "Tb", "Tb", "Tb", "Tb", "Tb", "Tb", "Tm", "Tm", "Tm", "Tm", "Ho", "Ho", "Ho", "Ho"], "fractional_positions": [[0.563, 0.064, 0.876], [0.563, 0.564, 0.625], [0.562, 0.065, 0.375], [0.063, 0.936, 0.125], [0.562, 0.564, 0.125], [0.063, 0.436, 0.376], [0.062, 0.435, 0.875], [0.062, 0.936, 0.625], [0.063, 0.175, 0.875], [0.062, 0.675, 0.625], [0.562, 0.825, 0.125], [0.563, 0.325, 0.375], [0.562, 0.825, 0.625], [0.063, 0.176, 0.375], [0.062, 0.675, 0.125], [0.563, 0.324, 0.875]], "dos_at_fermi_per_ev_fu": 7.13, "magmom_total_mub_per_cell": 0.0, "crystal_system": "monoclinic"}

(b)
{"formula": "Tb2HoTm", "functional": "GGA-PBE", "state": "relaxed", "lattice": [[4.977, 0.000, 0.000], [0.000, 4.992, 0.000], [0.000, 0.000, 4.992]], "species": ["Ho", "Tb", "Tb", "Tm"], "fractional_positions": [[0.500, 0.500, 0.500], [0.000, 0.000, 0.500], [0.000, 0.500, 0.000], [0.500, 0.000, 0.000]], "dos_at_fermi_per_ev_fu": 5.83, "magmom_total_mub_per_cell": 0.0, "crystal_system": "tetragonal"}

Most stable of them? (b).

(a)
{"formula": "Tb8HoTm2", "functional": "GGA-PBE", "state": "relaxed", "lattice": [[7.523, -4.551, -6.934], [-5.454, 12.119, 7.812], [-5.984, 7.669, 11.976]], "species": ["Tb", "Tb", "Tb", "Tb", "Tb", "Tb", "Tb", "Tb", "Ho", "Tm", "Tm"], "fractional_positions": [[0.636, 0.728, 0.818], [0.817, 0.364, 0.908], [0.727, 0.546, 0.363], [0.273, 0.454, 0.637], [0.364, 0.272, 0.182], [0.183, 0.636, 0.092], [0.454, 0.091, 0.727], [0.546, 0.909, 0.273], [0.000, 0.000, 0.000], [0.092, 0.818, 0.546], [0.908, 0.182, 0.454]], "dos_at_fermi_per_ev_fu": 15.58, "magmom_total_mub_per_cell": 0.0, "crystal_system": "triclinic"}

(b)
{"formula": "Tb8HoTm2", "functional": "GGA-PBE", "state": "relaxed", "lattice": [[-0.029, 4.369, 4.939], [6.004, -1.323, 8.042], [8.705, 3.207, 4.052]], "species": ["Tm", "Tm", "Tb", "Tb", "Tb", "Tb", "Tb", "Tb", "Tb", "Tb", "Ho"], "fractional_positions": [[0.400, 0.201, 0.201], [0.600, 0.799, 0.799], [0.826, 0.244, 0.244], [0.726, 0.591, 0.591], [0.274, 0.409, 0.409], [0.772, 0.174, 0.650], [0.772, 0.650, 0.174], [0.228, 0.350, 0.826], [0.174, 0.756, 0.756], [0.228, 0.826, 0.350], [0.000, 0.000, 0.000]], "dos_at_fermi_per_ev_fu": 17.26, "magmom_total_mub_per_cell": 0.0, "crystal_system": "monoclinic"}

Most stable of them? (a).

(a)
{"formula": "TbHoTm4", "functional": "GGA-PBE", "state": "relaxed", "lattice": [[6.319, -0.664, 0.000], [-2.526, 8.480, 0.000], [-1.897, -3.908, 7.218]], "species": ["Tm", "Tm", "Tm", "Tm", "Tm", "Tm", "Tm", "Tm", "Tb", "Tb", "Ho", "Ho"], "fractional_positions": [[0.745, 0.711, 0.609], [0.195, 0.574, 0.740], [0.635, 0.101, 0.391], [0.955, 0.835, 0.260], [0.255, 0.289, 0.391], [0.045, 0.165, 0.740], [0.805, 0.426, 0.260], [0.365, 0.899, 0.609], [0.336, 0.586, 0.172], [0.664, 0.414, 0.828], [0.249, 0.999, 0.999], [0.751, 0.001, 0.001]], "dos_at_fermi_per_ev_fu": 10.09, "magmom_total_mub_per_cell": 0.0, "crystal_system": "monoclinic"}

(b)
{"formula": "TbHoTm4", "functional": "GGA-PBE", "state": "relaxed", "lattice": [[-3.037, -0.265, 1.589], [4.851, -4.189, 1.144], [3.199, 5.633, 7.053]], "species": ["Tm", "Tm", "Tm", "Tm", "Tb", "Ho"], "fractional_positions": [[0.497, 0.001, 0.168], [0.997, 0.501, 0.669], [0.997, 0.501, 0.335], [0.497, 0.001, 0.836], [0.997, 0.001, 0.502], [0.497, 0.501, 0.002]], "dos_at_fermi_per_ev_fu": 10.78, "magmom_total_mub_per_cell": 0.0, "crystal_system": "orthorhombic"}

(c)
{"formula": "TbHoTm4", "functional": "GGA-PBE", "state": "relaxed", "lattice": [[-3.292, -4.252, -3.622], [2.678, -2.435, -5.379], [1.839, -6.215, -0.179]], "species": ["Ho", "Tm", "Tm", "Tm", "Tm", "Tb"], "fractional_positions": [[0.000, 0.000, 0.000], [0.125, 0.625, 0.625], [0.625, 0.125, 0.625], [0.625, 0.625, 0.625], [0.625, 0.625, 0.125], [0.250, 0.250, 0.250]], "dos_at_fermi_per_ev_fu": 11.56, "magmom_total_mub_per_cell": 1.1, "crystal_system": "cubic"}

Most stable of them? (b).

(a)
{"formula": "TbHo2Tm3", "functional": "GGA-PBE", "state": "relaxed", "lattice": [[-3.140, 1.360, -0.502], [-3.450, -5.736, -5.874], [-6.517, -7.849, 7.578]], "species": ["Tm", "Tm", "Tm", "Tm", "Tm", "Tm", "Tb", "Tb", "Ho", "Ho", "Ho", "Ho"], "fractional_positions": [[0.960, 0.869, 0.211], [0.261, 0.186, 0.293], [0.401, 0.173, 0.026], [0.739, 0.814, 0.707], [0.599, 0.827, 0.974], [0.040, 0.131, 0.789], [0.439, 0.478, 0.645], [0.561, 0.522, 0.355], [0.342, 0.847, 0.468], [0.181, 0.522, 0.116], [0.658, 0.153, 0.532], [0.819, 0.478, 0.884]], "dos_at_fermi_per_ev_fu": 9.72, "magmom_total_mub_per_cell": 0.0, "crystal_system": "monoclinic"}

(b)
{"formula": "TbHo2Tm3", "functional": "GGA-PBE", "state": "relaxed", "lattice": [[-5.464, -0.467, -2.582], [0.950, -6.906, -0.763], [-4.020, 2.113, 8.089]], "species": ["Tm", "Tm", "Tm", "Tm", "Tm", "Tm", "Ho", "Ho", "Ho", "Ho", "Tb", "Tb"], "fractional_positions": [[0.417, 0.958, 0.666], [0.250, 0.375, 0.000], [0.917, 0.708, 0.666], [0.083, 0.292, 0.334], [0.750, 0.625, 0.000], [0.583, 0.042, 0.334], [0.083, 0.792, 0.334], [0.417, 0.458, 0.666], [0.583, 0.542, 0.334], [0.917, 0.208, 0.666], [0.250, 0.875, 0.000], [0.750, 0.125, 0.000]], "dos_at_fermi_per_ev_fu": 8.55, "magmom_total_mub_per_cell": 0.0, "crystal_system": "monoclinic"}

Most stable of them? (b).

(a)
{"formula": "TbHo4Tm", "functional": "GGA-PBE", "state": "relaxed", "lattice": [[-2.787, 1.788, 1.219], [-3.486, -3.521, -7.909], [-3.470, -9.260, 5.651]], "species": ["Tm", "Tm", "Ho", "Ho", "Ho", "Ho", "Ho", "Ho", "Ho", "Ho", "Tb", "Tb"], "fractional_positions": [[0.222, 0.445, 0.018], [0.778, 0.555, 0.518], [0.111, 0.223, 0.518], [0.667, 0.334, 0.268], [0.000, 0.001, 0.269], [0.000, 0.999, 0.769], [0.556, 0.111, 0.019], [0.889, 0.777, 0.018], [0.444, 0.889, 0.519], [0.333, 0.666, 0.768], [0.333, 0.666, 0.269], [0.667, 0.334, 0.769]], "dos_at_fermi_per_ev_fu": 8.14, "magmom_total_mub_per_cell": 0.0, "crystal_system": "orthorhombic"}

(b)
{"formula": "TbHo4Tm", "functional": "GGA-PBE", "state": "relaxed", "lattice": [[6.503, 0.000, 0.000], [3.251, 5.631, 0.000], [3.251, 1.877, 5.309]], "species": ["Ho", "Ho", "Ho", "Ho", "Tm", "Tb"], "fractional_positions": [[0.625, 0.625, 0.125], [0.125, 0.625, 0.625], [0.625, 0.125, 0.625], [0.625, 0.625, 0.625], [0.000, 0.000, 0.000], [0.250, 0.250, 0.250]], "dos_at_fermi_per_ev_fu": 9.82, "magmom_total_mub_per_cell": 0.1, "crystal_system": "cubic"}

(c)
{"formula": "TbHo4Tm", "functional": "GGA-PBE", "state": "relaxed", "lattice": [[4.961, -0.007, 0.000], [-2.481, 5.382, -5.168], [0.011, -3.722, 10.482]], "species": ["Ho", "Ho", "Ho", "Ho", "Tm", "Tb"], "fractional_positions": [[0.833, 0.666, 0.500], [0.334, 0.667, 0.000], [0.167, 0.334, 0.500], [0.666, 0.333, 0.000], [0.000, 0.000, 0.000], [0.500, 0.000, 0.500]], "dos_at_fermi_per_ev_fu": 7.90, "magmom_total_mub_per_cell": 0.0, "crystal_system": "triclinic"}

Most stable of them? (a).